1.
Material: TaTlAsSe2
Method: DFT, GGA-PBE
State: relaxed

a b c (Å): 5.1870 5.1870 5.1165
angles (deg): 90.00 90.00 90.00
Last column: nearest neighbours and their distance in Å.
Fractional coordinates of all 5 atoms:
Ta1 0.0000 0.0000 0.0000  8 Se 3.64, 4 As 3.67
Tl1 0.5000 0.5000 0.5000  2 As 2.56, 4 Se 2.59
As1 0.5000 0.5000 0.0000  2 Tl 2.56
Se1 0.0000 0.5000 0.5000  2 Tl 2.59
Se2 0.5000 0.0000 0.5000  2 Tl 2.59

## Properties
raw formation energy	1.55	eV per atom

=====

2.
Material: RbAl3Au3
Method: DFT, GGA-PBE
State: relaxed

a b c (Å): 9.4759 9.4759 9.4759
angles (deg): 43.35 43.35 43.35
Last column: nearest neighbours and their distance in Å.
Fractional coordinates of all 14 atoms:
Rb1 0.1654 0.1654 0.1654  6 Au 3.81-3.89, 6 Al 3.87, 3 Rb 4.04
Rb2 0.8346 0.8346 0.8346  6 Au 3.81-3.89, 6 Al 3.87, 3 Rb 4.04
Al1 0.0450 0.6182 0.2154  4 Au 2.48-2.66
Al2 0.2154 0.0450 0.6182  4 Au 2.48-2.66
Al3 0.3818 0.7846 0.9550  4 Au 2.48-2.66
Al4 0.6182 0.2154 0.0450  4 Au 2.48-2.66
Al5 0.7846 0.9550 0.3818  4 Au 2.48-2.66
Al6 0.9550 0.3818 0.7846  4 Au 2.48-2.66
Au1 0.1584 0.6352 0.3890  4 Al 2.48-2.66
Au2 0.3648 0.6110 0.8416  4 Al 2.48-2.66
Au3 0.3890 0.1584 0.6352  4 Al 2.48-2.66
Au4 0.6110 0.8416 0.3648  4 Al 2.48-2.66
Au5 0.6352 0.3890 0.1584  4 Al 2.48-2.66
Au6 0.8416 0.3648 0.6110  4 Al 2.48-2.66

## Properties
E_form	-1.9	eV/f.u.

=====

3.
Material: SrLa2Sc
Method: DFT, GGA-PBE
State: relaxed

a b c (Å): 5.9213 5.9213 5.9213
angles (deg): 60.00 60.00 60.00
Last column: nearest neighbours and their distance in Å.
Fractional coordinates of all 4 atoms:
Sr1 0.0000 0.0000 0.0000  4 Sc 3.63, 4 La 3.63
La1 0.2500 0.2500 0.2500  4 La 3.63, 4 Sr 3.63
La2 0.5000 0.5000 0.5000  4 La 3.63, 4 Sc 3.63
Sc1 0.7500 0.7500 0.7500  4 Sr 3.63, 4 La 3.63

## Properties
E_form	1.1	eV/f.u.

=====

What is the formula in the third record? SrLa2Sc